VASP calculation (PBE-GGA) on crystalline RbAsAu2 at its relaxed geometry.

Properties
- energy relative to the elements (eV per atom) = -0.184
- calculated volume (Å³/atom) = 29.61

Cell and atoms, written as POSCAR:
```
RbAsAu2
1.0
4.7195 0.0000 0.0000
-2.3598 4.0872 0.0000
0.0000 0.0000 18.4226
Rb As Au
3 3 6
Direct
0.0000 0.0000 0.0000
0.3333 0.6667 0.6667
0.6667 0.3333 0.3333
0.0000 0.0000 0.5000
0.3333 0.6667 0.1667
0.6667 0.3333 0.8333
0.0000 0.0000 0.1883
0.0000 0.0000 0.8117
0.3333 0.6667 0.4784
0.3333 0.6667 0.8550
0.6667 0.3333 0.1450
0.6667 0.3333 0.5216
```

VASP calculation (PBE-GGA) on crystalline RbAs3Au at its relaxed geometry.

Properties
- energy relative to the elements (eV per atom) = 0.406
- calculated volume (Å³/atom) = 28.70

Cell and atoms, written as POSCAR:
```
RbAs3Au
1.0
5.2356 0.0000 0.0000
0.0000 5.2356 0.0000
0.0000 0.0000 5.2356
Rb As Au
1 3 1
Direct
0.0000 0.0000 0.0000
0.0000 0.5000 0.5000
0.5000 0.0000 0.5000
0.5000 0.5000 0.0000
0.5000 0.5000 0.5000
```